Entry 1:
Material: AcZnCu
Method: DFT, GGA-PBE
State: optimized geometry

abc: 4.0388 4.5444 4.5444
angles: 120.00 90.00 90.00
With the nearest neighbours (Å) after each atom.
Sites, in units of the cell vectors:
Ac  0.6667  0.3333  0.6667  6 Cu 3.31, 6 Zn 3.31
Zn  0.1667  0.6667  0.3333  3 Cu 2.62
Cu  0.1666  0.0000  0.0000  3 Zn 2.62

Output
**Distance to the lowest polymorph of the same formula**: 0.0 kJ/mol of atoms
**ΔE_f**: -24 kJ per mole of atoms
**Final energy**: -3.41 eV/atom
**Density**: 8.2 Mg/m³

Entry 2:
Material: AcZn2Cu
Method: DFT, GGA-PBE
State: optimized geometry

abc: 4.2987 4.2987 6.0406
angles: 69.16 69.16 60.00
With the nearest neighbours (Å) after each atom.
Sites, in units of the cell vectors:
Ac  0.0000  0.0000  0.0000  8 Zn 3.30-3.32
Zn  0.8004  0.8004  0.5989  3 Cu 2.54, 3 Zn 2.71
Zn  0.1996  0.1996  0.4011  3 Cu 2.54, 3 Zn 2.71
Cu  0.5000  0.5000  0.5000  6 Zn 2.54

Output
**Distance to the lowest polymorph of the same formula**: 1.8 kJ/mol of atoms
**ΔE_f**: -21 kJ per mole of atoms
**Final energy**: -2.91 eV/atom
**Density**: 7.9 Mg/m³

Entry 3:
Material: AcZnCu4
Method: DFT, GGA-PBE
State: optimized geometry

abc: 5.2433 5.2433 5.2433
angles: 60.00 60.00 60.00
With the nearest neighbours (Å) after each atom.
Sites, in units of the cell vectors:
Ac  0.2500  0.2500  0.2500  12 Cu 3.08, 4 Zn 3.21
Zn  0.0000  0.0000  0.0000  12 Cu 3.07, 4 Ac 3.21
Cu  0.6279  0.6279  0.1164  6 Cu 2.56-2.68
Cu  0.6279  0.1164  0.6279  6 Cu 2.56-2.68
Cu  0.6279  0.6279  0.6279  6 Cu 2.56-2.68
Cu  0.1164  0.6279  0.6279  6 Cu 2.56-2.68

Output
**ΔE_f**: -9 kJ per mole of atoms
**Final energy**: -3.72 eV/atom
**Density**: 8.9 Mg/m³

Entry 4:
Material: AcZn2Cu6
Method: DFT, GGA-PBE
State: optimized geometry

abc: 7.9111 7.9111 7.9111
angles: 60.00 60.00 60.00
With the nearest neighbours (Å) after each atom.
Sites, in units of the cell vectors:
Ac  0.5000  0.5000  0.5000  6 Cu 2.90
Ac  0.7500  0.7500  0.7500  6 Cu 2.90
Zn  0.1250  0.1250  0.1250  6 Cu 2.36
Zn  0.1250  0.6250  0.1250  6 Cu 2.36
Zn  0.1250  0.1250  0.6250  6 Cu 2.36
Zn  0.6250  0.1250  0.1250  6 Cu 2.36
Cu  0.2404  0.2404  0.7596  2 Zn 2.36
Cu  0.7596  0.7596  0.2404  2 Zn 2.36
Cu  0.2404  0.7596  0.2404  2 Zn 2.36
Cu  0.2404  0.7596  0.7596  2 Zn 2.36
Cu  0.4904  0.4904  0.0096  2 Zn 2.36
Cu  0.4904  0.0096  0.0096  2 Zn 2.36
Cu  0.7596  0.2404  0.7596  2 Zn 2.36
Cu  0.0096  0.0096  0.4904  2 Zn 2.36
Cu  0.4904  0.0096  0.4904  2 Zn 2.36
Cu  0.0096  0.4904  0.4904  2 Zn 2.36
Cu  0.7596  0.2404  0.2404  2 Zn 2.36
Cu  0.0096  0.4904  0.0096  2 Zn 2.36

Output
**ΔE_f**: 33 kJ per mole of atoms
**Final energy**: -3.12 eV/atom
**Density**: 7.0 Mg/m³

Entry 5:
Material: Ac2Zn2Cu15
Method: DFT, GGA-PBE
State: optimized geometry

abc: 6.6589 6.6589 6.6589
angles: 82.95 82.95 82.95
With the nearest neighbours (Å) after each atom.
Sites, in units of the cell vectors:
Ac  0.3496  0.3496  0.3496  18 Cu 3.16-3.47, 1 Zn 3.22
Ac  0.6504  0.6504  0.6504  18 Cu 3.16-3.47, 1 Zn 3.22
Zn  0.0993  0.0993  0.0993  1 Zn 2.56, 12 Cu 2.68-2.85
Zn  0.9007  0.9007  0.9007  1 Zn 2.56, 12 Cu 2.68-2.85
Cu  0.5000  0.0000  0.0000  8 Cu 2.52, 2 Zn 2.69
Cu  0.0000  0.0000  0.5000  8 Cu 2.52, 2 Zn 2.69
Cu  0.0000  0.5000  0.0000  8 Cu 2.52, 2 Zn 2.69
Cu  0.0000  0.7110  0.2890  8 Cu 2.52-2.75
Cu  0.7110  0.2890  0.0000  8 Cu 2.52-2.75
Cu  0.2890  0.0000  0.7110  8 Cu 2.52-2.75
Cu  0.2890  0.7110  0.0000  8 Cu 2.52-2.75
Cu  0.7110  0.0000  0.2890  8 Cu 2.52-2.75
Cu  0.0000  0.2890  0.7110  8 Cu 2.52-2.75
Cu  0.1495  0.6605  0.6605  8 Cu 2.52-2.75, 1 Zn 2.68
Cu  0.6605  0.6605  0.1495  8 Cu 2.52-2.75, 1 Zn 2.68
Cu  0.6605  0.1495  0.6605  8 Cu 2.52-2.75, 1 Zn 2.68
Cu  0.8505  0.3395  0.3395  8 Cu 2.52-2.75, 1 Zn 2.68
Cu  0.3395  0.3395  0.8505  8 Cu 2.52-2.75, 1 Zn 2.68
Cu  0.3395  0.8505  0.3395  8 Cu 2.52-2.75, 1 Zn 2.68

Output
**ΔE_f**: -9 kJ per mole of atoms
**Final energy**: -3.89 eV/atom
**Density**: 8.8 Mg/m³

Entry 6:
Material: AcZn5Cu2
Method: DFT, GGA-PBE
State: optimized geometry

abc: 4.0921 6.4121 6.4121
angles: 69.15 71.39 71.39
With the nearest neighbours (Å) after each atom.
Sites, in units of the cell vectors:
Ac  0.0000  0.0000  0.0000  4 Cu 3.19, 8 Zn 3.41
Zn  0.0000  0.5000  0.5000  2 Cu 2.42
Zn  0.6500  0.5334  0.1666  3 Cu 2.51-2.62, 1 Zn 2.67
Zn  0.3500  0.4666  0.8334  3 Cu 2.51-2.62, 1 Zn 2.67
Zn  0.3500  0.8334  0.4666  3 Cu 2.51-2.62, 1 Zn 2.67
Zn  0.6500  0.1666  0.5334  3 Cu 2.51-2.62, 1 Zn 2.67
Cu  0.7517  0.7483  0.7483  7 Zn 2.42-2.62
Cu  0.2483  0.2517  0.2517  7 Zn 2.42-2.62

Output
**ΔE_f**: -19 kJ per mole of atoms
**Final energy**: -2.53 eV/atom
**Density**: 7.8 Mg/m³